[1]
# Ni13H2 (GGA-PBE, relaxed)
data_Ni13H2
_chemical_formula_sum 'Ni13 H2'
_cell_length_a 4.3500
_cell_length_b 5.6056
_cell_length_c 6.6449
_cell_angle_alpha 65.11
_cell_angle_beta 83.74
_cell_angle_gamma 82.64
_symmetry_space_group_name_H-M 'P -1'
_symmetry_Int_Tables_number 2
_symmetry_space_group_name_Hall '-P 1'
loop_
_atom_site_label
_atom_site_fract_x
_atom_site_fract_y
_atom_site_fract_z
Ni1 0.0000 0.0000 0.0000
Ni2 0.0744 0.8413 0.6922
Ni3 0.1587 0.6896 0.3855
Ni4 0.2311 0.5365 0.0768
Ni5 0.3102 0.3888 0.7708
Ni6 0.3867 0.2331 0.4579
Ni7 0.4587 0.0812 0.1525
H1 0.1929 0.1166 0.7292
# - DFT total energy: -5.45 eV/atom
# - Total moment: 6.56 μB/cell
# - D(E_F): 25.42 states/eV/f.u.



[2]
# Ca2CdAs2 (GGA-PBE, relaxed)
data_Ca2CdAs2
_chemical_formula_sum 'Ca4 Cd2 As4'
_cell_length_a 8.7008
_cell_length_b 8.7008
_cell_length_c 3.3345
_cell_angle_alpha 90.00
_cell_angle_beta 90.00
_cell_angle_gamma 90.00
_symmetry_space_group_name_H-M 'P 4/m b m'
_symmetry_Int_Tables_number 127
_symmetry_space_group_name_Hall '-P 4 2ab'
loop_
_atom_site_label
_atom_site_fract_x
_atom_site_fract_y
_atom_site_fract_z
Ca1 0.1385 0.3615 0.0000
Cd1 0.0000 0.0000 0.0000
As1 0.1627 0.6627 0.5000
# - Total moment: 0.00 μB/cell
# - D(E_F): 3.13 states/eV/f.u.
# - Energy of formation from the pure elements: -58.0 kJ/mol of atoms



[3]
# Sc8Re (GGA-PBE, relaxed)
data_Sc8Re
_chemical_formula_sum 'Sc16 Re2'
_cell_length_a 9.3160
_cell_length_b 9.3160
_cell_length_c 4.6429
_cell_angle_alpha 90.00
_cell_angle_beta 90.00
_cell_angle_gamma 90.00
_symmetry_space_group_name_H-M 'I 4/m m m'
_symmetry_Int_Tables_number 139
_symmetry_space_group_name_Hall '-I 4 2'
loop_
_atom_site_label
_atom_site_fract_x
_atom_site_fract_y
_atom_site_fract_z
Sc1 0.0000 0.3151 0.0000
Sc2 0.1549 0.1549 0.5000
Re1 0.0000 0.0000 0.0000
# - Total moment: 0.00 μB/cell
# - D(E_F): 13.65 states/eV/f.u.
# - Energy of formation from the pure elements: 5.8 kJ/mol of atoms



[4]
# RbGaAg2Pt (GGA-PBE, relaxed)
data_RbGaAg2Pt
_chemical_formula_sum 'Rb1 Ga1 Ag2 Pt1'
_cell_length_a 5.3784
_cell_length_b 5.3784
_cell_length_c 4.8043
_cell_angle_alpha 90.00
_cell_angle_beta 90.00
_cell_angle_gamma 90.00
_symmetry_space_group_name_H-M 'P 4/m m m'
_symmetry_Int_Tables_number 123
_symmetry_space_group_name_Hall '-P 4 2'
loop_
_atom_site_label
_atom_site_fract_x
_atom_site_fract_y
_atom_site_fract_z
Rb1 0.0000 0.0000 0.0000
Ga1 0.5000 0.5000 0.0000
Ag1 0.0000 0.5000 0.5000
Pt1 0.5000 0.5000 0.5000
# - Total moment: 0.00 μB/cell
# - D(E_F): 1.43 states/eV/f.u.
# - Energy of formation from the pure elements: -6.1 kJ/mol of atoms



[5]
# LaNpSe2S (GGA-PBE, relaxed)
data_LaNpSe2S
_chemical_formula_sum 'La4 Np4 Se8 S4'
_cell_length_a 4.1402
_cell_length_b 13.3763
_cell_length_c 9.6992
_cell_angle_alpha 90.00
_cell_angle_beta 90.00
_cell_angle_gamma 90.00
_symmetry_space_group_name_H-M 'C m c m'
_symmetry_Int_Tables_number 63
_symmetry_space_group_name_Hall '-C 2c 2'
loop_
_atom_site_label
_atom_site_fract_x
_atom_site_fract_y
_atom_site_fract_z
La1 0.0000 0.2370 0.2500
Np1 0.0000 0.5000 0.0000
Se1 0.0000 0.1435 0.5646
S1 0.0000 0.4122 0.7500
# - DFT total energy: -7.45 eV/atom
# - Total moment: 15.94 μB/cell
# - D(E_F): 8.85 states/eV/f.u.



[6]
# Pr2TmGa (GGA-PBE, relaxed)
data_Pr2TmGa
_chemical_formula_sum 'Pr2 Tm1 Ga1'
_cell_length_a 3.6349
_cell_length_b 3.6349
_cell_length_c 9.0321
_cell_angle_alpha 90.00
_cell_angle_beta 90.00
_cell_angle_gamma 90.00
_symmetry_space_group_name_H-M 'P 4/m m m'
_symmetry_Int_Tables_number 123
_symmetry_space_group_name_Hall '-P 4 2'
loop_
_atom_site_label
_atom_site_fract_x
_atom_site_fract_y
_atom_site_fract_z
Pr1 0.0000 0.0000 0.2136
Tm1 0.5000 0.5000 0.5000
Ga1 0.5000 0.5000 0.0000
# - Total moment: 0.00 μB/cell
# - D(E_F): 4.86 states/eV/f.u.
# - Offset from the most stable computed form: 0.039 eV/atom
# - Energy of formation from the pure elements: -20.7 kJ/mol of atoms



[7]
# HoZrZnIr (GGA-PBE, relaxed)
data_HoZrZnIr
_chemical_formula_sum 'Ho4 Zr4 Zn4 Ir4'
_cell_length_a 6.7910
_cell_length_b 6.7910
_cell_length_c 6.7910
_cell_angle_alpha 90.00
_cell_angle_beta 90.00
_cell_angle_gamma 90.00
_symmetry_space_group_name_H-M 'F -4 3 m'
_symmetry_Int_Tables_number 216
_symmetry_space_group_name_Hall 'F -4 2 3'
loop_
_atom_site_label
_atom_site_fract_x
_atom_site_fract_y
_atom_site_fract_z
Ho1 0.0000 0.0000 0.0000
Zr1 0.0000 0.0000 0.5000
Zn1 0.2500 0.2500 0.2500
Ir1 0.2500 0.2500 0.7500
# - Total moment: 0.00 μB/cell
# - D(E_F): 3.58 states/eV/f.u.
# - Energy of formation from the pure elements: -51.6 kJ/mol of atoms



[8]
# GdAg2Sn (GGA-PBE, relaxed)
data_GdAg2Sn
_chemical_formula_sum 'Gd1 Ag2 Sn1'
_cell_length_a 3.8294
_cell_length_b 3.8294
_cell_length_c 6.3919
_cell_angle_alpha 90.00
_cell_angle_beta 90.00
_cell_angle_gamma 90.00
_symmetry_space_group_name_H-M 'P 4/m m m'
_symmetry_Int_Tables_number 123
_symmetry_space_group_name_Hall '-P 4 2'
loop_
_atom_site_label
_atom_site_fract_x
_atom_site_fract_y
_atom_site_fract_z
Gd1 0.0000 0.0000 0.0000
Ag1 0.5000 0.5000 0.2499
Sn1 0.0000 0.0000 0.5000
# - Total moment: 7.12 μB/cell
# - D(E_F): 2.39 states/eV/f.u.
# - Energy of formation from the pure elements: -21.6 kJ/mol of atoms



[9]
# K2OsRh (GGA-PBE, relaxed)
data_K2OsRh
_chemical_formula_sum 'K6 Os3 Rh3'
_cell_length_a 2.8254
_cell_length_b 2.8254
_cell_length_c 33.8922
_cell_angle_alpha 90.00
_cell_angle_beta 90.00
_cell_angle_gamma 120.00
_symmetry_space_group_name_H-M 'R -3 m'
_symmetry_Int_Tables_number 166
_symmetry_space_group_name_Hall '-R 3 2"'
loop_
_atom_site_label
_atom_site_fract_x
_atom_site_fract_y
_atom_site_fract_z
K1 0.0000 0.0000 0.2477
Os1 0.0000 0.0000 0.0000
Rh1 0.0000 0.0000 0.5000
# - Total moment: 0.18 μB/cell
# - D(E_F): 1.74 states/eV/f.u.
# - Offset from the most stable computed form: 0.463 eV/atom
# - Energy of formation from the pure elements: 100.9 kJ/mol of atoms



[10]
# PrDy5Tl6 (GGA-PBE, relaxed)
data_PrDy5Tl6
_chemical_formula_sum 'Pr2 Dy10 Tl12'
_cell_length_a 9.3187
_cell_length_b 16.2331
_cell_length_c 5.3995
_cell_angle_alpha 90.00
_cell_angle_beta 125.25
_cell_angle_gamma 90.00
_symmetry_space_group_name_H-M 'C 1 2/m 1'
_symmetry_Int_Tables_number 12
_symmetry_space_group_name_Hall '-C 2y'
loop_
_atom_site_label
_atom_site_fract_x
_atom_site_fract_y
_atom_site_fract_z
Pr1 0.0000 0.0000 0.0000
Dy1 0.0000 0.1635 0.5000
Dy2 0.0000 0.3325 0.0000
Dy3 0.0000 0.5000 0.5000
Tl1 0.2400 0.5000 0.2401
Tl2 0.2453 0.3302 0.7450
# - Total moment: 0.00 μB/cell
# - D(E_F): 9.14 states/eV/f.u.
# - Energy of formation from the pure elements: -33.5 kJ/mol of atoms



[11]
# Ho2ScTe5 (GGA-PBE, relaxed)
data_Ho2ScTe5
_chemical_formula_sum 'Ho8 Sc4 Te20'
_cell_length_a 6.0559
_cell_length_b 14.6716
_cell_length_c 13.1840
_cell_angle_alpha 90.00
_cell_angle_beta 90.00
_cell_angle_gamma 90.00
_symmetry_space_group_name_H-M 'C m c m'
_symmetry_Int_Tables_number 63
_symmetry_space_group_name_Hall '-C 2c 2'
loop_
_atom_site_label
_atom_site_fract_x
_atom_site_fract_y
_atom_site_fract_z
Ho1 0.0000 0.1633 0.0629
Sc1 0.0000 0.1972 0.7500
Te1 0.0000 0.0346 0.6243
Te2 0.0000 0.2844 0.2500
Te3 0.0000 0.3256 0.5813
# - DFT total energy: -5.04 eV/atom
# - Total moment: 0.00 μB/cell
# - D(E_F): 3.57 states/eV/f.u.



[12]
# AcB2Pt10 (GGA-PBE, relaxed)
data_AcB2Pt10
_chemical_formula_sum 'Ac4 B8 Pt40'
_cell_length_a 5.2856
_cell_length_b 10.8348
_cell_length_c 15.2263
_cell_angle_alpha 90.00
_cell_angle_beta 90.00
_cell_angle_gamma 90.00
_symmetry_space_group_name_H-M 'F m m m'
_symmetry_Int_Tables_number 69
_symmetry_space_group_name_Hall '-F 2 2'
loop_
_atom_site_label
_atom_site_fract_x
_atom_site_fract_y
_atom_site_fract_z
Ac1 0.0000 0.0000 0.0000
B1 0.2500 0.0000 0.2500
Pt1 0.0000 0.1298 0.1866
Pt2 0.0000 0.1318 0.3676
Pt3 0.2500 0.2500 0.0000
# - Total moment: 0.00 μB/cell
# - D(E_F): 9.38 states/eV/f.u.
# - Energy of formation from the pure elements: -22.6 kJ/mol of atoms



[13]
# AcAsRhS (GGA-PBE, relaxed)
data_AcAsRhS
_chemical_formula_sum 'Ac2 As2 Rh2 S2'
_cell_length_a 4.6417
_cell_length_b 4.6417
_cell_length_c 8.9157
_cell_angle_alpha 90.00
_cell_angle_beta 90.00
_cell_angle_gamma 90.00
_symmetry_space_group_name_H-M 'P 4/n m m'
_symmetry_Int_Tables_number 129
loop_
_symmetry_equiv_pos_as_xyz
'x,y,z'
'-x,-y,-z'
'-y+1/2,x,z'
'y+1/2,-x,-z'
'-x+1/2,-y+1/2,z'
'x+1/2,y+1/2,-z'
'y,-x+1/2,z'
'-y,x+1/2,-z'
'x+1/2,-y,-z'
'-x+1/2,y,z'
'-y,-x,-z'
'y,x,z'
'-x,y+1/2,-z'
'x,-y+1/2,z'
'y+1/2,x+1/2,-z'
'-y+1/2,-x+1/2,z'
loop_
_atom_site_label
_atom_site_fract_x
_atom_site_fract_y
_atom_site_fract_z
Ac1 0.2500 0.2500 0.1870
As1 0.2500 0.2500 0.6143
Rh1 0.2500 0.7500 0.5000
S1 0.2500 0.7500 0.0000
# - DFT total energy: -6.26 eV/atom
# - Total moment: 0.00 μB/cell
# - D(E_F): 2.10 states/eV/f.u.